1.
A plane-wave DFT calculation with GGA-PBE was carried out for a geometry-optimized InCo2Hg structure.

a = 3.1296 Å, b = 4.4422 Å, c = 9.3838 Å
α = 90.00°, β = 90.00°, γ = 90.00°
Closest atoms and distances in Å follow each position.
Space group Imm2 (No. 44)
Unique sites:
1 In 0.0000 0.0000 0.0000  6 Co 2.75-2.94, 2 Hg 3.01
2 Co 0.0000 0.0000 0.4582  2 Co 2.39
3 Co 0.0000 0.5000 0.7656  2 Co 2.39
4 Hg 0.0000 0.5000 0.2169  6 Co 2.76-2.89, 4 In 3.01-3.08

***

2.
A plane-wave DFT calculation with GGA-PBE was carried out for a geometry-optimized Sm2Dy6Er3Sc structure.

a = 6.1012 Å, b = 10.5616 Å, c = 11.6896 Å
α = 90.00°, β = 99.98°, γ = 90.00°
Closest atoms and distances in Å follow each position.
Space group C2/m (No. 12)
Unique sites:
1 Sm 0.0000 0.1664 0.0000  3 Sm 3.52, 3 Sc 3.52, 6 Dy 3.53
2 Dy 0.2472 0.5000 0.7493  6 Dy 3.49-3.54, 3 Er 3.51-3.53, 1 Sc 3.52, 2 Sm 3.53
3 Dy 0.2486 0.3348 0.2503  6 Dy 3.49-3.54, 3 Er 3.51-3.53, 1 Sc 3.52, 2 Sm 3.53
4 Er 0.0000 0.0000 0.5000  6 Dy 3.52-3.53, 6 Er 3.52-3.53
5 Er 0.0000 0.3338 0.5000  6 Er 3.51-3.53, 6 Dy 3.51-3.53
6 Sc 0.0000 0.5000 0.0000  6 Dy 3.52, 6 Sm 3.52

***

3.
A plane-wave DFT calculation with GGA-PBE was carried out for a geometry-optimized SmGa3NiPt structure.

a = 6.1463 Å, b = 12.0410 Å, c = 5.9357 Å
α = 90.00°, β = 90.00°, γ = 90.00°
Closest atoms and distances in Å follow each position.
Space group Cmcm (No. 63)
Unique sites:
1 Sm 0.0000 0.2315 0.2500  1 Ni 2.66
2 Ga 0.0000 0.3515 0.7500  1 Ni 2.36, 1 Pt 2.46
3 Ga 0.2102 0.0000 0.0000  2 Ni 2.39, 1 Ga 2.58, 2 Pt 2.65
4 Ni 0.0000 0.4523 0.2500  5 Ga 2.36-2.39
5 Pt 0.0000 0.1472 0.7500  5 Ga 2.46-2.65

***

Quick rundown of final energy, same order as above: -31.7; -113.5; -115.4 eV per cell